1.
A PBEsol-optimized structure of YIn3, computed with SCAN.

a = 4.5566 Å, b = 4.5566 Å, c = 4.5566 Å
α = 90.00°, β = 90.00°, γ = 90.00°
Closest atoms and distances in Å follow each position.
Atoms (fractional coordinates):
In1 0.5000 0.5000 0.0000  8 In 3.22, 4 Y 3.22
In2 0.5000 0.0000 0.5000  8 In 3.22, 4 Y 3.22
Y1 0.0000 0.0000 0.0000  12 In 3.22
In3 0.0000 0.5000 0.5000  8 In 3.22, 4 Y 3.22

Output
Formation energy from the elements (eV per atom): -0.557

=====

2.
A PBEsol-optimized structure of ReAsAu2, computed with SCAN.

a = 4.3470 Å, b = 4.5856 Å, c = 4.3470 Å
α = 118.29°, β = 90.00°, γ = 118.29°
Closest atoms and distances in Å follow each position.
Atoms (fractional coordinates):
As1 0.2500 0.5000 0.7500  4 Re 2.76, 8 Au 2.76-3.07
Au1 0.0000 0.0000 0.0000  4 As 2.76, 4 Au 2.76, 4 Re 3.07
Au2 0.7500 0.5000 0.2500  4 Au 2.76, 4 Re 2.76, 4 As 3.07
Re1 0.5000 0.0000 0.5000  4 As 2.76, 8 Au 2.76-3.07

Output
Formation energy from the elements (eV per atom): 0.655

=====

3.
A PBEsol-optimized structure of GaNi2H2, computed with SCAN.

a = 2.9872 Å, b = 2.9872 Å, c = 4.8995 Å
α = 107.75°, β = 107.75°, γ = 90.00°
Closest atoms and distances in Å follow each position.
Atoms (fractional coordinates):
H1 0.2500 0.7500 0.5000  4 Ni 1.73
Ni1 0.6512 0.6512 0.3024  4 H 1.73
H2 0.7500 0.2500 0.5000  4 Ni 1.73
Ga1 0.0000 0.0000 0.0000  8 Ni 2.50, 8 H 2.67
Ni2 0.3488 0.3488 0.6976  4 H 1.73

=====

4.
A PBEsol-optimized structure of HfAg2Pt, computed with SCAN.

a = 4.5619 Å, b = 4.5619 Å, c = 4.5619 Å
α = 60.00°, β = 60.00°, γ = 60.00°
Closest atoms and distances in Å follow each position.
Atoms (fractional coordinates):
Ag1 0.7500 0.7500 0.7500  4 Hf 2.79, 4 Pt 2.79
Hf1 0.0000 0.0000 0.0000  8 Ag 2.79
Pt1 0.5000 0.5000 0.5000  8 Ag 2.79
Ag2 0.2500 0.2500 0.2500  4 Hf 2.79, 4 Pt 2.79

Output
Formation energy from the elements (eV per atom): -0.179

=====

5.
A PBEsol-optimized structure of SbS2F, computed with SCAN.

a = 3.6083 Å, b = 3.6083 Å, c = 7.7504 Å
α = 76.54°, β = 76.54°, γ = 60.00°
Closest atoms and distances in Å follow each position.
Atoms (fractional coordinates):
S1 0.0924 0.0924 0.7227  1 F 2.07
F1 0.0000 0.0000 0.0000  2 S 2.07
S2 0.9076 0.9076 0.2773  1 F 2.07
Sb1 0.5000 0.5000 0.5000  6 S 2.67

Output
Formation energy without anion corrections (meV/atom): -166

=====

6.
A PBEsol-optimized structure of RbNbGe2Cl, computed with SCAN.

a = 5.3019 Å, b = 5.3493 Å, c = 5.3493 Å
α = 90.00°, β = 90.00°, γ = 90.00°
Closest atoms and distances in Å follow each position.
Atoms (fractional coordinates):
Rb1 0.0000 0.0000 0.0000  2 Cl 2.65, 4 Ge 2.67
Ge1 0.0000 0.5000 0.0000  2 Rb 2.67
Nb1 0.5000 0.5000 0.5000  8 Ge 3.77, 4 Cl 3.78
Cl1 0.5000 0.0000 0.0000  2 Rb 2.65
Ge2 0.0000 0.0000 0.5000  2 Rb 2.67

Output
Formation energy without anion corrections (meV/atom): 1686

=====

7.
A PBEsol-optimized structure of ZrBe2Cl, computed with SCAN.

a = 4.8946 Å, b = 5.4851 Å, c = 5.4851 Å
α = 78.52°, β = 63.50°, γ = 63.50°
Closest atoms and distances in Å follow each position.
Atoms (fractional coordinates):
Cl1 0.2500 0.5000 0.5000  4 Be 2.37, 2 Zr 2.45
Cl2 0.5000 0.0000 0.0000  4 Be 2.37, 2 Zr 2.45
Zr1 0.0000 0.0000 0.0000  2 Cl 2.45, 4 Be 2.70
Zr2 0.7500 0.5000 0.5000  2 Cl 2.45, 4 Be 2.70
Be1 0.3750 0.4655 0.0345  2 Cl 2.37, 2 Be 2.49
Be2 0.5905 0.0345 0.5345  2 Cl 2.37, 2 Be 2.49
Be3 0.1595 0.9655 0.4655  2 Cl 2.37, 2 Be 2.49
Be4 0.8750 0.5345 0.9655  2 Cl 2.37, 2 Be 2.49

Output
Formation energy without anion corrections (meV/atom): 356

=====

8.
A PBEsol-optimized structure of BaTl2InOs, computed with SCAN.

a = 5.3022 Å, b = 5.3022 Å, c = 5.5404 Å
α = 90.00°, β = 90.00°, γ = 90.00°
Closest atoms and distances in Å follow each position.
Atoms (fractional coordinates):
Os1 0.0000 0.0000 0.0000  4 Tl 2.65, 2 Ba 2.77
Tl1 0.5000 0.0000 0.0000  2 Os 2.65
Tl2 0.0000 0.5000 0.0000  2 Os 2.65
In1 0.5000 0.5000 0.5000  4 Ba 3.75, 8 Tl 3.83
Ba1 0.0000 0.0000 0.5000  2 Os 2.77

Output
Formation energy from the elements (eV per atom): 0.327

=====

9.
A PBEsol-optimized structure of CaAuBr2, computed with SCAN.

a = 4.9701 Å, b = 5.1794 Å, c = 4.9701 Å
α = 118.67°, β = 90.00°, γ = 118.67°
Closest atoms and distances in Å follow each position.
Atoms (fractional coordinates):
Ca1 0.5000 0.0000 0.5000  8 Br 3.13
Br1 0.7500 0.5000 0.2500  4 Ca 3.13, 4 Au 3.13
Br2 0.2500 0.5000 0.7500  4 Ca 3.13, 4 Au 3.13
Au1 0.0000 0.0000 0.0000  8 Br 3.13

Output
Formation energy without anion corrections (meV/atom): -950

=====

10.
A PBEsol-optimized structure of Fe2ReNi, computed with SCAN.

a = 3.5739 Å, b = 3.5739 Å, c = 4.3630 Å
α = 114.18°, β = 114.18°, γ = 90.00°
Closest atoms and distances in Å follow each position.
Atoms (fractional coordinates):
Ni1 0.5000 0.5000 0.0000  8 Fe 2.52-2.53, 4 Re 2.52
Fe1 0.0000 0.0000 0.0000  4 Re 2.52, 4 Fe 2.52, 4 Ni 2.53
Re1 0.2500 0.7500 0.5000  8 Fe 2.52-2.53, 4 Ni 2.52
Fe2 0.7500 0.2500 0.5000  4 Fe 2.52, 4 Ni 2.52, 4 Re 2.53

Output
Formation energy from the elements (eV per atom): 0.060

=====

11.
A PBEsol-optimized structure of LiTa2F, computed with SCAN.

a = 4.2743 Å, b = 4.2743 Å, c = 4.2743 Å
α = 60.00°, β = 60.00°, γ = 60.00°
Closest atoms and distances in Å follow each position.
Atoms (fractional coordinates):
Li1 0.0000 0.0000 0.0000  8 Ta 2.62
Ta1 0.2500 0.2500 0.2500  4 F 2.62, 4 Li 2.62
F1 0.5000 0.5000 0.5000  8 Ta 2.62
Ta2 0.7500 0.7500 0.7500  4 F 2.62, 4 Li 2.62

Output
Formation energy without anion corrections (meV/atom): 508

=====

12.
A PBEsol-optimized structure of Be2Te7Cl6, computed with SCAN.

a = 5.5323 Å, b = 10.3614 Å, c = 16.8315 Å
α = 90.00°, β = 90.00°, γ = 90.00°
Closest atoms and distances in Å follow each position.
Atoms (fractional coordinates):
Te1 0.6713 0.1036 0.6283  3 Te 2.82-3.02
Te2 0.8287 0.6036 0.1283  3 Te 2.82-3.02
Be1 0.5000 0.0000 0.9193  4 Cl 2.00-2.07
Te3 0.8287 0.6036 0.8717  3 Te 2.82-3.02
Te4 0.0000 0.0000 0.5000  4 Te 3.02
Cl1 0.7310 0.9136 0.0000  2 Be 2.07
Te5 0.3287 0.8964 0.6283  3 Te 2.82-3.02
Te6 0.3287 0.8964 0.3717  3 Te 2.82-3.02
Te7 0.1713 0.3964 0.1283  3 Te 2.82-3.02
Cl2 0.6557 0.1373 0.8533  1 Be 2.00
Be2 0.0000 0.5000 0.5807  4 Cl 2.00-2.07
Te8 0.0000 0.0000 0.7389  2 Te 2.82, 2 Cl 3.06
Cl3 0.2310 0.5864 0.5000  2 Be 2.07
Cl4 0.1557 0.3627 0.6467  1 Be 2.00
Te9 0.5000 0.5000 0.2389  2 Te 2.82, 2 Cl 3.06
Te10 0.6713 0.1036 0.3717  3 Te 2.82-3.02
Cl5 0.3443 0.8627 0.8533  1 Be 2.00
Te11 0.5000 0.5000 0.0000  4 Te 3.02
Cl6 0.6557 0.1373 0.1467  1 Be 2.00
Cl7 0.3443 0.8627 0.1467  1 Be 2.00
Te12 0.5000 0.5000 0.7611  2 Te 2.82, 2 Cl 3.06
Be3 0.0000 0.5000 0.4193  4 Cl 2.00-2.07
Cl8 0.2690 0.0864 0.0000  2 Be 2.07
Te13 0.1713 0.3964 0.8717  3 Te 2.82-3.02
Cl9 0.8443 0.6373 0.3533  1 Be 2.00
Be4 0.5000 0.0000 0.0807  4 Cl 2.00-2.07
Cl10 0.7690 0.4136 0.5000  2 Be 2.07
Cl11 0.8443 0.6373 0.6467  1 Be 2.00
Te14 0.0000 0.0000 0.2611  2 Te 2.82, 2 Cl 3.06
Cl12 0.1557 0.3627 0.3533  1 Be 2.00

Output
Formation energy without anion corrections (meV/atom): -757

=====

13.
A PBEsol-optimized structure of K2BaCr, computed with SCAN.

a = 5.2676 Å, b = 5.2676 Å, c = 6.6459 Å
α = 90.00°, β = 90.00°, γ = 90.00°
Closest atoms and distances in Å follow each position.
Atoms (fractional coordinates):
K1 0.0000 0.5000 0.0000  4 K 3.72
Cr1 0.0000 0.0000 0.5000  4 Ba 3.72
K2 0.5000 0.0000 0.0000  4 K 3.72
Ba1 0.5000 0.5000 0.5000  4 Cr 3.72

Output
Formation energy from the elements (eV per atom): 0.455

=====

14.
A PBEsol-optimized structure of AlRhW3, computed with SCAN.

a = 4.6351 Å, b = 4.6351 Å, c = 4.6351 Å
α = 90.00°, β = 90.00°, γ = 90.00°
Closest atoms and distances in Å follow each position.
Atoms (fractional coordinates):
W1 0.5000 0.0000 0.0000  2 Rh 2.32
W2 0.0000 0.5000 0.0000  2 Rh 2.32
W3 0.0000 0.0000 0.5000  2 Rh 2.32
Rh1 0.0000 0.0000 0.0000  6 W 2.32
Al1 0.5000 0.5000 0.5000  12 W 3.28

Output
Formation energy from the elements (eV per atom): 1.997

=====

15.
A PBEsol-optimized structure of Ca3CrAs, computed with SCAN.

a = 5.5400 Å, b = 5.5400 Å, c = 5.5400 Å
α = 90.00°, β = 90.00°, γ = 90.00°
Closest atoms and distances in Å follow each position.
Atoms (fractional coordinates):
Ca1 0.0000 0.5000 0.0000  2 As 2.77
As1 0.0000 0.0000 0.0000  6 Ca 2.77
Cr1 0.5000 0.5000 0.5000  12 Ca 3.92
Ca2 0.5000 0.0000 0.0000  2 As 2.77
Ca3 0.0000 0.0000 0.5000  2 As 2.77

Output
Formation energy from the elements (eV per atom): -0.272

=====

16.
A PBEsol-optimized structure of TaW4, computed with SCAN.

a = 4.0660 Å, b = 4.0660 Å, c = 6.2766 Å
α = 108.90°, β = 108.90°, γ = 90.00°
Closest atoms and distances in Å follow each position.
Atoms (fractional coordinates):
Ta1 0.0000 0.0000 0.0000  16 W 3.13-3.45
W1 0.6116 0.6116 0.2233  5 W 2.49-2.55
W2 0.7500 0.2500 0.5000  4 W 2.55
W3 0.2500 0.7500 0.5000  4 W 2.55
W4 0.3884 0.3884 0.7767  5 W 2.49-2.55

Output
Formation energy from the elements (eV per atom): 1.042

=====

17.
A PBEsol-optimized structure of Rb2SiCl, computed with SCAN.

a = 5.8428 Å, b = 5.8428 Å, c = 5.8428 Å
α = 60.00°, β = 60.00°, γ = 60.00°
Closest atoms and distances in Å follow each position.
Atoms (fractional coordinates):
Cl1 0.5000 0.5000 0.5000  8 Rb 3.58
Si1 0.0000 0.0000 0.0000  8 Rb 3.58
Rb1 0.2500 0.2500 0.2500  4 Cl 3.58, 4 Si 3.58
Rb2 0.7500 0.7500 0.7500  4 Si 3.58, 4 Cl 3.58

Output
Formation energy without anion corrections (meV/atom): -501

=====

18.
A PBEsol-optimized structure of AgHg2Rh, computed with SCAN.

a = 3.0200 Å, b = 4.0526 Å, c = 5.7525 Å
α = 90.00°, β = 90.00°, γ = 90.00°
Closest atoms and distances in Å follow each position.
Atoms (fractional coordinates):
Rh1 0.0000 0.0000 0.4914  6 Hg 2.81-2.93, 4 Ag 2.93, 2 Rh 3.02
Hg1 0.0000 0.0000 0.9824  2 Rh 2.82-2.93, 4 Ag 2.86, 6 Hg 3.02-3.05
Ag1 0.5000 0.5000 0.7484  5 Hg 2.71-2.86, 4 Rh 2.93, 2 Ag 3.02
Hg2 0.5000 0.5000 0.2778  1 Ag 2.71, 4 Rh 2.81, 2 Hg 3.02

Output
Formation energy from the elements (eV per atom): 0.186

=====

19.
A PBEsol-optimized structure of La2MgS4, computed with SCAN.

a = 7.3443 Å, b = 7.3443 Å, c = 7.3443 Å
α = 106.43°, β = 111.01°, γ = 111.01°
Closest atoms and distances in Å follow each position.
Atoms (fractional coordinates):
S1 0.7344 0.1079 0.2317  1 Mg 2.65, 2 La 2.80-2.91
S2 0.6238 0.6421 0.8764  1 Mg 2.65, 2 La 2.80-2.91
La1 0.8789 0.5039 0.1250  6 S 2.80-2.98
S3 0.1238 0.6264 0.8921  1 Mg 2.65, 2 La 2.80-2.91
La2 0.1211 0.2461 0.6250  6 S 2.80-2.98
S4 0.2344 0.9817 0.3579  1 Mg 2.65, 2 La 2.80-2.91
S5 0.7656 0.1236 0.7474  1 Mg 2.65, 2 La 2.80-2.91
S6 0.8762 0.7683 0.5026  1 Mg 2.65, 2 La 2.80-2.91
La3 0.6211 0.3750 0.4961  6 S 2.80-2.98
Mg1 0.5000 0.7500 0.2500  4 S 2.65
Mg2 0.0000 0.0000 0.0000  4 S 2.65
S7 0.3762 0.2526 0.0183  1 Mg 2.65, 2 La 2.80-2.91
La4 0.3789 0.8750 0.7539  6 S 2.80-2.98
S8 0.2656 0.4974 0.3736  1 Mg 2.65, 2 La 2.80-2.91

Output
Formation energy without anion corrections (meV/atom): -2166

=====

20.
A PBEsol-optimized structure of BeTe2, computed with SCAN.

a = 3.5907 Å, b = 3.5907 Å, c = 5.1529 Å
α = 90.00°, β = 90.00°, γ = 90.00°
Closest atoms and distances in Å follow each position.
Atoms (fractional coordinates):
Be1 0.0000 0.0000 0.0000  6 Te 2.54-2.58
Te1 0.0000 0.0000 0.5000  2 Be 2.58
Te2 0.5000 0.5000 0.0000  4 Be 2.54

Output
Formation energy without anion corrections (meV/atom): 253

=====

Number 1: total DFT energy (no corrections) -2.3929 Ry/atom. Number 2: total DFT energy (no corrections) -4.1707 Ry/atom. Number 3: total DFT energy (no corrections) -0.8248 Ry/atom. Number 4: total DFT energy (no corrections) -3.6073 Ry/atom. Number 5: total DFT energy (no corrections) -1.1158 Ry/atom. Number 6: total DFT energy (no corrections) -1.3464 Ry/atom. Number 7: total DFT energy (no corrections) -0.8445 Ry/atom. Number 8: total DFT energy (no corrections) -4.2320 Ry/atom. Number 9: total DFT energy (no corrections) -2.2332 Ry/atom. Number 10: total DFT energy (no corrections) -2.2654 Ry/atom. Number 11: total DFT energy (no corrections) -2.5185 Ry/atom. Number 12: total DFT energy (no corrections) -1.6105 Ry/atom. Number 13: total DFT energy (no corrections) -1.3372 Ry/atom. Number 14: total DFT energy (no corrections) -3.5368 Ry/atom. Number 15: total DFT energy (no corrections) -1.0132 Ry/atom. Number 16: total DFT energy (no corrections) -4.9997 Ry/atom. Number 17: total DFT energy (no corrections) -1.1296 Ry/atom. Number 18: total DFT energy (no corrections) -3.6883 Ry/atom. Number 19: total DFT energy (no corrections) -1.5210 Ry/atom. Number 20: total DFT energy (no corrections) -1.9133 Ry/atom.